No. 1
Entry from Alexandria: a relaxed structure of Sc2BeN (PBE).

Computed properties:
The calculation puts the magnetic moment at 0.00 μB per formula unit. Its density of states at the Fermi level is 5.76 states/eV/cell. Its uncorrected formation energy is -485 meV per atom. Its electronic total energy is -6.6638 eV per atom.

Geometry as extended XYZ:
```
8
Lattice="-2.225 5.003 2.730 -5.462 -1.035 -2.555 -4.783 0.039 2.884" Properties=species:S:1:pos:R:3 pbc="T T T"
Sc -3.425 3.358 2.299
Sc -4.732 -0.362 -0.726
Sc -6.088 1.590 2.408
Sc -10.697 3.428 2.138
Be -3.844 1.984 0.088
Be -7.045 0.494 0.209
N 0.000 0.000 0.000
N -5.426 3.513 2.851
```

---

No. 2
Entry from Alexandria: a relaxed structure of ScBeN2 (PBE).

Computed properties:
The calculation puts the magnetic moment at 0.00 μB per formula unit. Its density of states at the Fermi level is 2.40 states/eV/cell. Its uncorrected formation energy is -728 meV per atom. Its electronic total energy is -7.4046 eV per atom.

Geometry as extended XYZ:
```
4
Lattice="1.884 0.000 5.386 -0.942 1.632 5.386 -0.942 -1.632 5.386" Properties=species:S:1:pos:R:3 pbc="T T T"
Sc 0.000 0.000 8.079
Be 0.000 0.000 0.000
N 0.000 0.000 14.631
N 0.000 0.000 1.528
```

---

No. 3
Entry from Alexandria: a relaxed structure of Sc2BeN (PBE).

Computed properties:
The calculation puts the magnetic moment at 0.00 μB per formula unit. Its density of states at the Fermi level is 3.30 states/eV/cell. Its uncorrected formation energy is 180 meV per atom. Its electronic total energy is -5.9989 eV per atom.

Geometry as extended XYZ:
```
4
Lattice="0.000 3.009 3.009 3.009 0.000 3.009 3.009 3.009 0.000" Properties=species:S:1:pos:R:3 pbc="T T T"
Sc 1.505 1.505 1.505
Sc 4.514 4.514 4.514
Be 0.000 0.000 0.000
N 3.009 3.009 3.009
```